A plane-wave DFT calculation with PBE was carried out for a relaxed Sm3MgGa crystal.

Its formation energy is -0.24 eV per atom. The density of states at the Fermi level comes out at 22.28 states/eV/cell. As for the final energy: -4.00 eV/atom. Its crystal system is orthorhombic.

It has space group Cmcm (No. 63), with a = 5.245 Å, b = 20.297 Å, c = 5.234 Å, α = 90.00°, β = 90.00° and γ = 90.00°. Symmetry generates all atoms from Sm at (0.000, 0.063, 0.250), Sm at (0.000, 0.249, 0.250), Sm at (0.000, 0.434, 0.250), Mg at (0.000, 0.157, 0.750) and Ga at (0.000, 0.340, 0.750).

A plane-wave DFT calculation with PBE was carried out for a relaxed SmMgGa2 crystal.

Its formation energy is -0.49 eV per atom. The density of states at the Fermi level comes out at 14.13 states/eV/cell. As for the final energy: -3.59 eV/atom. Its crystal system is orthorhombic.

It has space group Pnma (No. 62), with a = 14.146 Å, b = 4.346 Å, c = 11.539 Å, α = 90.00°, β = 90.00° and γ = 90.00°. Symmetry generates all atoms from Sm at (0.054, 0.250, 0.238), Sm at (0.198, 0.750, 0.955), Mg at (0.063, 0.250, 0.548), Mg at (0.195, 0.750, 0.655), Ga at (0.036, 0.250, 0.970), Ga at (0.112, 0.250, 0.777), Ga at (0.135, 0.750, 0.430) and Ga at (0.209, 0.750, 0.235).

A plane-wave DFT calculation with PBE was carried out for a relaxed Sm4Mg2Ga crystal.

Its formation energy is -0.04 eV per atom. The density of states at the Fermi level comes out at 24.74 states/eV/cell. As for the final energy: -3.62 eV/atom. Its crystal system is trigonal.

It has space group R-3m (No. 166, hexagonal axes), with a = 5.2836 Å, b = 5.2836 Å, c = 25.6660 Å, α = 90.00°, β = 90.00° and γ = 120.00°. Symmetry generates all atoms from Sm at (0.0000, 0.0000, 0.1224), Sm at (0.0000, 0.0000, 0.3742), Mg at (0.0000, 0.0000, 0.2471) and Ga at (0.0000, 0.0000, 0.5000).

A plane-wave DFT calculation with PBE was carried out for a relaxed SmMg3Ga2 crystal.

Its formation energy is -0.31 eV per atom. The density of states at the Fermi level comes out at 3.31 states/eV/cell. As for the final energy: -2.91 eV/atom. For the energy above the most stable polymorph in this dataset, the calculation gives 5.8 meV per atom. Its crystal system is triclinic.

It has space group P-1 (No. 2), with a = 4.487 Å, b = 8.484 Å, c = 8.573 Å, α = 119.65°, β = 105.17° and γ = 90.00°. Symmetry generates all atoms from Sm at (0.129, 0.130, 0.260), Mg at (0.000, 0.332, 0.999), Mg at (0.333, 0.138, 0.666), Mg at (0.333, 0.528, 0.667), Ga at (0.205, 0.705, 0.410) and Ga at (0.500, 0.147, 0.000).

A plane-wave DFT calculation with PBE was carried out for a relaxed Sm3Mg3Ga8 crystal.

Its formation energy is -0.47 eV per atom. The density of states at the Fermi level comes out at 11.13 states/eV/cell. As for the final energy: -3.55 eV/atom. Its crystal system is orthorhombic.

It has space group Immm (No. 71), with a = 4.312 Å, b = 9.843 Å, c = 13.577 Å, α = 90.00°, β = 90.00° and γ = 90.00°. Symmetry generates all atoms from Sm at (0.000, 0.000, 0.000), Sm at (0.000, 0.000, 0.301), Mg at (0.000, 0.211, 0.500), Mg at (0.000, 0.500, 0.000), Ga at (0.000, 0.279, 0.143) and Ga at (0.000, 0.370, 0.337).

A plane-wave DFT calculation with PBE was carried out for a relaxed SmMg2Ga6 crystal.

Its formation energy is -0.25 eV per atom. The density of states at the Fermi level comes out at 6.89 states/eV/cell. As for the final energy: -3.14 eV/atom. For the energy above the most stable polymorph in this dataset, the calculation gives 21.3 meV per atom. Its crystal system is orthorhombic.

It has space group Immm (No. 71), with a = 4.122 Å, b = 7.161 Å, c = 12.512 Å, α = 90.00°, β = 90.00° and γ = 90.00°. Symmetry generates all atoms from Sm at (0.000, 0.000, 0.000), Mg at (0.000, 0.500, 0.117), Ga at (0.000, 0.180, 0.500) and Ga at (0.000, 0.312, 0.309).

A plane-wave DFT calculation with PBE was carried out for a relaxed SmMgGa crystal.

Its formation energy is -0.20 eV per atom. The density of states at the Fermi level comes out at 28.16 states/eV/cell. As for the final energy: -3.31 eV/atom. For the energy above the most stable polymorph in this dataset, the calculation gives 300.7 meV per atom. Its crystal system is orthorhombic.

It has space group Fddd (No. 70, origin choice 2), with a = 8.366 Å, b = 11.517 Å, c = 12.894 Å, α = 90.00°, β = 90.00° and γ = 90.00°. Symmetry generates all atoms from Sm at (0.000, 0.000, 0.000), Mg at (0.125, 0.251, 0.625) and Ga at (0.125, 0.125, 0.444).

A plane-wave DFT calculation with PBE was carried out for a relaxed SmMgGa crystal.

Its formation energy is -0.39 eV per atom. The density of states at the Fermi level comes out at 1.26 states/eV/cell. As for the final energy: -3.51 eV/atom. For the energy above the most stable polymorph in this dataset, the calculation gives 105.6 meV per atom. Its crystal system is hexagonal.

It has space group P-6m2 (No. 187), with a = 4.7389 Å, b = 4.7389 Å, c = 3.6944 Å, α = 90.00°, β = 90.00° and γ = 120.00°. Symmetry generates all atoms from Sm at (0.0000, 0.0000, 0.0000), Mg at (0.6667, 0.3333, 0.5000) and Ga at (0.3333, 0.6667, 0.5000).

A plane-wave DFT calculation with PBE was carried out for a relaxed SmMgGa3 crystal.

Its formation energy is -0.47 eV per atom. The density of states at the Fermi level comes out at 10.05 states/eV/cell. As for the final energy: -3.54 eV/atom. Its crystal system is orthorhombic.

It has space group Cmcm (No. 63), with a = 4.174 Å, b = 24.388 Å, c = 4.217 Å, α = 90.00°, β = 90.00° and γ = 90.00°. Symmetry generates all atoms from Sm at (0.000, 0.077, 0.250), Mg at (0.000, 0.205, 0.750), Ga at (0.000, 0.317, 0.750), Ga at (0.000, 0.374, 0.250) and Ga at (0.000, 0.475, 0.250).

A plane-wave DFT calculation with PBE was carried out for a relaxed Sm5MgGa4 crystal.

Its formation energy is -0.47 eV per atom. The density of states at the Fermi level comes out at 6.51 states/eV/cell. As for the final energy: -4.20 eV/atom. Its crystal system is tetragonal.

It has space group P4/mmm (No. 123), with a = 3.671 Å, b = 3.671 Å, c = 18.666 Å, α = 90.00°, β = 90.00° and γ = 90.00°. Symmetry generates all atoms from Sm at (0.000, 0.000, 0.000), Sm at (0.000, 0.000, 0.194), Sm at (0.000, 0.000, 0.388), Mg at (0.500, 0.500, 0.500), Ga at (0.500, 0.500, 0.097) and Ga at (0.500, 0.500, 0.294).

A plane-wave DFT calculation with PBE was carried out for a relaxed SmMgGa crystal.

Its formation energy is -0.50 eV per atom. The density of states at the Fermi level comes out at 1.57 states/eV/cell. As for the final energy: -3.61 eV/atom. For the energy above the most stable polymorph in this dataset, the calculation gives 0.0 meV per atom. Its crystal system is hexagonal.

It has space group P-62m (No. 189), with a = 7.3932 Å, b = 7.3932 Å, c = 4.5082 Å, α = 90.00°, β = 90.00° and γ = 120.00°. Symmetry generates all atoms from Sm at (0.0000, 0.5764, 0.0000), Mg at (0.0000, 0.2433, 0.5000), Ga at (0.0000, 0.0000, 0.0000) and Ga at (0.3333, 0.6667, 0.5000).

A plane-wave DFT calculation with PBE was carried out for a relaxed SmMgGa2 crystal.

Its formation energy is -0.42 eV per atom. The density of states at the Fermi level comes out at 5.74 states/eV/cell. As for the final energy: -3.51 eV/atom. Its crystal system is trigonal.

It has space group R-3m (No. 166, hexagonal axes), with a = 4.4893 Å, b = 4.4893 Å, c = 15.4108 Å, α = 90.00°, β = 90.00° and γ = 120.00°. Symmetry generates all atoms from Sm at (0.0000, 0.0000, 0.0000), Mg at (0.0000, 0.0000, 0.5000) and Ga at (0.0000, 0.0000, 0.2220).

A plane-wave DFT calculation with PBE was carried out for a relaxed SmMg3Ga3 crystal.

Its formation energy is 0.33 eV per atom. The density of states at the Fermi level comes out at 13.00 states/eV/cell. As for the final energy: -2.33 eV/atom. Its crystal system is cubic.

It has space group Pm-3n (No. 223), with a = 7.280 Å, b = 7.280 Å, c = 7.280 Å, α = 90.00°, β = 90.00° and γ = 90.00°. Symmetry generates all atoms from Sm at (0.000, 0.000, 0.000), Mg at (0.000, 0.250, 0.500) and Ga at (0.000, 0.500, 0.250).

A plane-wave DFT calculation with PBE was carried out for a relaxed Sm8MgGa2 crystal.

Its formation energy is -0.19 eV per atom. The density of states at the Fermi level comes out at 25.98 states/eV/cell. As for the final energy: -4.32 eV/atom. Its crystal system is monoclinic.

It has space group C2/m (No. 12), with a = 17.451 Å, b = 4.948 Å, c = 8.016 Å, α = 90.00°, β = 109.93° and γ = 90.00°. Symmetry generates all atoms from Sm at (0.047, 0.000, 0.236), Sm at (0.099, 0.500, 0.964), Sm at (0.175, 0.000, 0.764), Sm at (0.178, 0.500, 0.448), Mg at (0.000, 0.500, 0.500) and Ga at (0.210, 0.000, 0.170).

A plane-wave DFT calculation with PBE was carried out for a relaxed Sm2MgGa crystal.

Its formation energy is -0.33 eV per atom. The density of states at the Fermi level comes out at 3.40 states/eV/cell. As for the final energy: -3.85 eV/atom. Its crystal system is tetragonal.

It has space group P4/mmm (No. 123), with a = 3.711 Å, b = 3.711 Å, c = 7.662 Å, α = 90.00°, β = 90.00° and γ = 90.00°. Symmetry generates all atoms from Sm at (0.000, 0.000, 0.232), Mg at (0.500, 0.500, 0.500) and Ga at (0.500, 0.500, 0.000).

A plane-wave DFT calculation with PBE was carried out for a relaxed Sm6MgGa2 crystal.

Its formation energy is -0.02 eV per atom. The density of states at the Fermi level comes out at 28.69 states/eV/cell. As for the final energy: -4.02 eV/atom. Its crystal system is monoclinic.

It has space group C2/m (No. 12), with a = 16.069 Å, b = 7.467 Å, c = 5.016 Å, α = 90.00°, β = 107.92° and γ = 90.00°. Symmetry generates all atoms from Sm at (0.000, 0.231, 0.000), Sm at (0.171, 0.243, 0.672), Mg at (0.000, 0.500, 0.500) and Ga at (0.168, 0.000, 0.169).

A plane-wave DFT calculation with PBE was carried out for a relaxed SmMgGa2 crystal.

Its formation energy is -0.37 eV per atom. The density of states at the Fermi level comes out at 3.07 states/eV/cell. As for the final energy: -3.46 eV/atom. Its crystal system is tetragonal.

It has space group P4/mmm (No. 123), with a = 3.503 Å, b = 3.503 Å, c = 7.011 Å, α = 90.00°, β = 90.00° and γ = 90.00°. Symmetry generates all atoms from Sm at (0.000, 0.000, 0.000), Mg at (0.000, 0.000, 0.500) and Ga at (0.500, 0.500, 0.285).

A plane-wave DFT calculation with PBE was carried out for a relaxed Sm3Mg4Ga4 crystal.

Its formation energy is -0.45 eV per atom. The density of states at the Fermi level comes out at 10.37 states/eV/cell. As for the final energy: -3.42 eV/atom. Its crystal system is orthorhombic.

It has space group Immm (No. 71), with a = 4.550 Å, b = 7.313 Å, c = 15.077 Å, α = 90.00°, β = 90.00° and γ = 90.00°. Symmetry generates all atoms from Sm at (0.000, 0.000, 0.000), Sm at (0.000, 0.500, 0.119), Mg at (0.000, 0.304, 0.328), Ga at (0.000, 0.000, 0.217) and Ga at (0.000, 0.184, 0.500).

A plane-wave DFT calculation with PBE was carried out for a relaxed SmMg5Ga3 crystal.

Its formation energy is -0.17 eV per atom. The density of states at the Fermi level comes out at 15.17 states/eV/cell. As for the final energy: -2.59 eV/atom. Its crystal system is orthorhombic.

It has space group Cmcm (No. 63), with a = 3.451 Å, b = 15.118 Å, c = 15.226 Å, α = 90.00°, β = 90.00° and γ = 90.00°. Symmetry generates all atoms from Sm at (0.000, 0.166, 0.250), Mg at (0.000, 0.000, 0.000), Mg at (0.000, 0.193, 0.568), Mg at (0.000, 0.461, 0.156), Ga at (0.000, 0.158, 0.750) and Ga at (0.000, 0.373, 0.576).

A plane-wave DFT calculation with PBE was carried out for a relaxed SmMgGa crystal.

Its formation energy is -0.39 eV per atom. The density of states at the Fermi level comes out at 6.96 states/eV/cell. As for the final energy: -3.50 eV/atom. For the energy above the most stable polymorph in this dataset, the calculation gives 110.0 meV per atom. Its crystal system is orthorhombic.

It has space group Cmc2_1 (No. 36), with a = 4.329 Å, b = 17.187 Å, c = 4.071 Å, α = 90.00°, β = 90.00° and γ = 90.00°. Symmetry generates all atoms from Sm at (0.000, 0.091, 0.000), Mg at (0.000, 0.292, 0.001) and Ga at (0.000, 0.456, 0.000).